VASP calculation (PBE with a Hubbard U) on a relaxed BaBe2CrF8 crystal.

Output
space group = R-3
volume = 12.93 Å³/atom
final energy = -70.272 eV per formula unit
D(E_F) = 7.07 states/eV per cell

a b c (Å): 4.9544 4.9544 7.8375
angles (deg): 71.57 71.57 60.00
Last column: nearest neighbours and their distance in Å.
Positions (direct):
Ba1 0.5000 0.5000 0.5000  12 F 2.88-2.94
Be1 0.2544 0.2544 0.2369  4 F 1.56-1.57
Be2 0.7456 0.7456 0.7631  4 F 1.56-1.57
Cr1 0.0000 0.0000 0.0000  6 F 2.14
F1 0.1825 0.1825 0.4525  1 Be 1.57
F2 0.5797 0.2669 0.1774  1 Be 1.56
F3 0.8175 0.8175 0.5475  1 Be 1.57
F4 0.9760 0.5797 0.1774  1 Be 1.56
F5 0.0240 0.4203 0.8226  1 Be 1.56
F6 0.2669 0.9760 0.1774  1 Be 1.56
F7 0.7331 0.0240 0.8226  1 Be 1.56
F8 0.4203 0.7331 0.8226  1 Be 1.56